Density functional theory data (PBE) for an optimized crystal structure of PrEr2NpN4.

POSCAR file:
```
PrEr2NpN4
1.0
-0.386 -3.370 0.441
5.417 0.590 -4.018
6.463 0.408 8.773
Er N Pr Np
4 8 2 2
direct
0.627 0.255 0.987
0.627 0.255 0.513
0.373 0.745 0.013
0.373 0.745 0.487
0.000 0.000 0.000
0.799 0.598 0.891
0.000 0.000 0.500
0.201 0.402 0.391
0.799 0.598 0.609
0.424 0.848 0.250
0.576 0.152 0.750
0.201 0.402 0.109
0.768 0.537 0.250
0.232 0.463 0.750
0.035 0.071 0.250
0.965 0.929 0.750
```

Output
spin magnetization = 3.9 μB per formula unit
energy = -8.73 eV per atom
space-group type = Cmcm, No. 63

Density functional theory data (PBE) for an optimized crystal structure of Er2Pu3NpN6.

POSCAR file:
```
Er2Pu3NpN6
1.0
-2.010 -5.589 0.764
3.549 2.492 4.130
-5.057 3.036 1.061
Er N Pu Np
2 6 3 1
direct
0.666 0.334 0.000
0.334 0.666 0.000
0.243 0.243 0.754
0.594 0.919 0.757
0.757 0.757 0.246
0.919 0.594 0.757
0.406 0.081 0.243
0.081 0.406 0.243
0.168 0.832 0.500
0.832 0.168 0.500
0.500 0.500 0.500
0.000 0.000 0.000
```

Output
spin magnetization = 17.7 μB per formula unit
energy = -10.99 eV per atom
space-group type = C2/m, No. 12

Density functional theory data (PBE) for an optimized crystal structure of Er2PuNpN4.

POSCAR file:
```
Er2PuNpN4
1.0
3.448 0.000 0.000
0.000 5.976 0.108
0.000 -2.085 5.576
N Er Pu Np
4 2 1 1
direct
0.500 0.254 0.244
0.000 0.256 0.755
0.500 0.746 0.756
0.000 0.744 0.245
0.000 0.500 0.500
0.500 0.000 0.500
0.000 0.000 0.000
0.500 0.500 0.000
```

Output
spin magnetization = 8.0 μB per formula unit
energy = -10.18 eV per atom
space-group type = P2/m, No. 10

Density functional theory data (PBE) for an optimized crystal structure of ErNpSe2N.

POSCAR file:
```
ErNpSe2N
1.0
-1.550 -1.271 -3.351
2.901 -2.588 -0.360
-7.749 -9.698 7.264
Se Np Er N
4 2 2 2
direct
0.000 0.500 0.689
0.500 0.000 0.311
0.000 0.500 0.090
0.500 0.000 0.910
0.000 0.500 0.421
0.500 0.000 0.579
0.500 0.000 0.124
0.000 0.500 0.876
0.000 0.000 0.500
0.500 0.500 0.500
```

Output
spin magnetization = 2.8 μB per formula unit
energy = -8.08 eV per atom
space-group type = P4/nmm, No. 129